An optimized crystal structure of SmDy2As3, computed with PBE.

Geometry as POSCAR:
```
SmDy2As3
1.0
4.146 0.000 0.000
-2.073 3.591 0.000
0.000 0.000 10.152
Sm Dy As
1 2 3
direct
0.000 0.000 0.000 Sm
0.333 0.667 0.336 Dy
0.667 0.333 0.664 Dy
0.000 0.000 0.500 As
0.333 0.667 0.828 As
0.667 0.333 0.172 As
```

**E_tot**: -37.1 eV/f.u.